# Pb2WCl | Alexandria via LeMat-Bulk | PBE-GGA | relaxed
data_Pb2WCl
_cell_length_a 7.346
_cell_length_b 7.346
_cell_length_c 7.346
_cell_angle_alpha 90.00
_cell_angle_beta 90.00
_cell_angle_gamma 90.00
_space_group_name_H-M_alt 'F -4 3 m'
_space_group_IT_number 216
_space_group_name_Hall 'F -4 2 3'
loop_
_atom_site_label
_atom_site_type_symbol
_atom_site_fract_x
_atom_site_fract_y
_atom_site_fract_z
Pb1 Pb 0.000 0.000 0.000
Pb2 Pb 0.250 0.250 0.250
W1 W 0.250 0.250 0.750
Cl1 Cl 0.000 0.000 0.500
# ΔE to the lowest computed polymorph = 641 meV per atom
# ΔE_f (raw) = 3.97 eV/f.u.

=====

Li5LaAu2: relaxed, PBE-GGA.

Structure (CIF):
```
data_Li5LaAu2
_cell_length_a 4.105
_cell_length_b 8.220
_cell_length_c 9.893
_cell_angle_alpha 90.00
_cell_angle_beta 90.00
_cell_angle_gamma 90.00
_space_group_name_H-M_alt 'I m m m'
_space_group_IT_number 71
_space_group_name_Hall '-I 2 2'
loop_
_atom_site_label
_atom_site_type_symbol
_atom_site_fract_x
_atom_site_fract_y
_atom_site_fract_z
Li1 Li 0.000 0.000 0.000
Li2 Li 0.000 0.317 0.337
La1 La 0.000 0.500 0.000
Au1 Au 0.000 0.000 0.266
```

=====

no.,total moment (μB per formula unit),energy (eV per atom)
1,2.99,-4.56
2,0.00,-3.03